FeNiAsW PBE-GGA optimized geometry; VASP energy = -7.67 eV per atom; crystal system = cubic; space-group type = F-43m; spin magnetization = 1.63 μB/cell
1.0
-2.1620 1.8526 3.0900
-3.3095 2.4229 -0.9115
-3.8827 -1.3117 0.9265
As Fe Ni W
1 1 1 1
Direct
0.0000 0.0000 0.0000 As
0.7500 0.7500 0.7500 Fe
0.5000 0.5000 0.5000 Ni
0.2500 0.2500 0.2500 W